[1]
ScMoW2: relaxed, PBE.

Summary:
space group	Cmmm (65)
offset from the most stable computed form	0.051	eV per atom
formation enthalpy at 0 K	0.56	eV/f.u.

Lattice parameters (Å, degrees): 3.241 4.537 9.260 90.00 90.00 90.00
Element x y z (fractional)
Sc (0.000, 0.000, 0.000)
Sc (0.500, 0.500, 0.000)
Mo (0.000, 0.000, 0.500)
Mo (0.500, 0.500, 0.500)
W (0.000, 0.500, 0.263)
W (0.000, 0.500, 0.737)
W (0.500, 0.000, 0.263)
W (0.500, 0.000, 0.737)

=====

[2]
K2CdRe: relaxed, PBE.

Summary:
space group	P4/mmm (123)
formation enthalpy at 0 K	5.26	eV/f.u.

Lattice parameters (Å, degrees): 4.236 4.236 5.711 90.00 90.00 90.00
Element x y z (fractional)
K (0.000, 0.500, 0.000)
K (0.500, 0.000, 0.000)
Cd (0.000, 0.000, 0.500)
Re (0.500, 0.500, 0.500)

=====

[3]
Ta8Pt: relaxed, PBE.

Summary:
space group	I4/mmm (139)
offset from the most stable computed form	0.000	eV per atom
formation enthalpy at 0 K	-1.80	eV/f.u.

Lattice parameters (Å, degrees): 7.082 7.082 7.082 93.30 93.30 152.23
Element x y z (fractional)
Ta (0.000, 0.332, 0.332)
Ta (0.000, 0.668, 0.668)
Ta (0.332, 0.000, 0.332)
Ta (0.333, 0.333, 0.667)
Ta (0.333, 0.667, 0.000)
Ta (0.667, 0.333, 0.000)
Ta (0.667, 0.667, 0.333)
Ta (0.668, 0.000, 0.668)
Pt (0.000, 0.000, 0.000)

=====

[4]
GdYRu: relaxed, PBE.

Summary:
space group	P3m1 (156)
offset from the most stable computed form	0.147	eV per atom
formation enthalpy at 0 K	-0.30	eV/f.u.

Lattice parameters (Å, degrees): 4.730 4.730 3.620 90.00 90.00 120.00
Element x y z (fractional)
Gd (0.000, 0.000, 0.000)
Y (0.667, 0.333, 0.547)
Ru (0.333, 0.667, 0.261)

=====

[5]
ZnCrTc2Sn: relaxed, PBE.

Summary:
space group	P4/mmm (123)
formation enthalpy at 0 K	6.96	eV/f.u.

Lattice parameters (Å, degrees): 4.571 4.571 4.377 90.00 90.00 90.00
Element x y z (fractional)
Zn (0.000, 0.000, 0.000)
Cr (0.000, 0.000, 0.500)
Tc (0.000, 0.500, 0.000)
Tc (0.500, 0.000, 0.000)
Sn (0.500, 0.500, 0.500)

=====

[6]
Ba2IrW: relaxed, PBE.

Summary:
space group	I-42d (122)
offset from the most stable computed form	0.606	eV per atom
formation enthalpy at 0 K	3.01	eV/f.u.

Lattice parameters (Å, degrees): 11.835 11.835 4.863 90.00 90.00 90.00
Element x y z (fractional)
Ba (0.081, 0.750, 0.125)
Ba (0.250, 0.081, 0.875)
Ba (0.250, 0.419, 0.375)
Ba (0.419, 0.750, 0.625)
Ba (0.581, 0.250, 0.625)
Ba (0.750, 0.581, 0.375)
Ba (0.750, 0.919, 0.875)
Ba (0.919, 0.250, 0.125)
Ir (0.000, 0.000, 0.000)
Ir (0.000, 0.500, 0.250)
Ir (0.500, 0.000, 0.750)
Ir (0.500, 0.500, 0.500)
W (0.000, 0.000, 0.500)
W (0.000, 0.500, 0.750)
W (0.500, 0.000, 0.250)
W (0.500, 0.500, 0.000)

=====

[7]
LaNi2Mo: relaxed, PBE.

Summary:
space group	I-4m2 (119)
offset from the most stable computed form	0.466	eV per atom
formation enthalpy at 0 K	1.63	eV/f.u.

Lattice parameters (Å, degrees): 3.948 3.948 8.692 90.00 90.00 90.00
Element x y z (fractional)
La (0.000, 0.000, 0.000)
La (0.500, 0.500, 0.500)
Ni (0.000, 0.000, 0.500)
Ni (0.000, 0.500, 0.250)
Ni (0.500, 0.000, 0.750)
Ni (0.500, 0.500, 0.000)
Mo (0.000, 0.500, 0.750)
Mo (0.500, 0.000, 0.250)

=====

[8]
Li2ScGaS4: relaxed, PBE.

Summary:
space group	Imma (74)
formation energy from raw total energies	-1290	meV per atom

Lattice parameters (Å, degrees): 7.338 7.338 7.338 121.09 119.52 89.48
Element x y z (fractional)
Li (0.000, 0.000, 0.000)
Li (0.500, 0.000, 0.000)
Li (0.500, 0.000, 0.500)
Li (0.500, 0.500, 0.500)
Sc (0.000, 0.500, 0.500)
Sc (0.500, 0.500, 0.000)
Ga (0.000, 0.000, 0.500)
Ga (0.000, 0.500, 0.000)
S (0.230, 0.749, 0.480)
S (0.231, 0.251, 0.980)
S (0.248, 0.250, 0.502)
S (0.248, 0.745, 0.998)
S (0.752, 0.255, 0.002)
S (0.752, 0.750, 0.498)
S (0.769, 0.749, 0.020)
S (0.770, 0.251, 0.520)